[1]
Crystalline TbHoGaPt at its relaxed geometry. Source: Alexandria, functional PBE.

a b c (Å): 5.005 5.005 5.005
angles (deg): 60.00 60.00 60.00
Element x y z (fractional)
Ho 0.000 0.000 0.000
Pt 0.750 0.750 0.750
Tb 0.500 0.500 0.500
Ga 0.250 0.250 0.250

**Calculated volume**: 22.17 Å³/atom
**Distance to the lowest polymorph of the same formula**: 0.073 eV/atom
**Total magnetic moment**: 0.0 Bohr magnetons per cell
**Formation energy from the elements**: -0.87 eV/atom
**Calculated density**: 11.0 Mg/m³



[2]
Crystalline Tm4In at its relaxed geometry. Source: Alexandria, functional PBE.

a b c (Å): 7.531 7.531 7.531
angles (deg): 105.72 105.72 117.27
Element x y z (fractional)
In 0.500 0.500 0.000
In 0.250 0.750 0.500
Tm 0.153 0.968 0.815
Tm 0.597 0.911 0.315
Tm 0.153 0.339 0.185
Tm 0.661 0.847 0.815
Tm 0.089 0.403 0.685
Tm 0.597 0.282 0.685
Tm 0.032 0.847 0.185
Tm 0.718 0.403 0.315

**Calculated volume**: 32.41 Å³/atom
**Distance to the lowest polymorph of the same formula**: 0.217 eV/atom
**Total magnetic moment**: 0.0 Bohr magnetons per cell
**Formation energy from the elements**: 0.11 eV/atom
**Calculated density**: 8.1 Mg/m³



[3]
Crystalline Ir3Os3Rh2 at its relaxed geometry. Source: Alexandria, functional PBE.

a b c (Å): 3.865 3.850 8.190
angles (deg): 103.59 103.65 90.00
Element x y z (fractional)
Os 0.000 0.500 0.000
Os 0.874 0.874 0.749
Os 0.126 0.126 0.251
Rh 0.749 0.249 0.497
Rh 0.251 0.751 0.503
Ir 0.378 0.378 0.757
Ir 0.622 0.622 0.243
Ir 0.500 0.000 0.000

**Calculated volume**: 14.36 Å³/atom
**Distance to the lowest polymorph of the same formula**: 0.000 eV/atom
**Total magnetic moment**: 0.0 Bohr magnetons per cell
**Formation energy from the elements**: 0.04 eV/atom
**Calculated density**: 19.6 Mg/m³



The lowest calculated density belongs to which entry?
Tm4In



Please write out number 3 again, unchanged.
Crystalline Ir3Os3Rh2 at its relaxed geometry. Source: Alexandria, functional PBE.

a b c (Å): 3.865 3.850 8.190
angles (deg): 103.59 103.65 90.00
Element x y z (fractional)
Os 0.000 0.500 0.000
Os 0.874 0.874 0.749
Os 0.126 0.126 0.251
Rh 0.749 0.249 0.497
Rh 0.251 0.751 0.503
Ir 0.378 0.378 0.757
Ir 0.622 0.622 0.243
Ir 0.500 0.000 0.000

**Calculated volume**: 14.36 Å³/atom
**Distance to the lowest polymorph of the same formula**: 0.000 eV/atom
**Total magnetic moment**: 0.0 Bohr magnetons per cell
**Formation energy from the elements**: 0.04 eV/atom
**Calculated density**: 19.6 Mg/m³



What did the third record say?
Crystalline Ir3Os3Rh2 at its relaxed geometry. Source: Alexandria, functional PBE.

a b c (Å): 3.865 3.850 8.190
angles (deg): 103.59 103.65 90.00
Element x y z (fractional)
Os 0.000 0.500 0.000
Os 0.874 0.874 0.749
Os 0.126 0.126 0.251
Rh 0.749 0.249 0.497
Rh 0.251 0.751 0.503
Ir 0.378 0.378 0.757
Ir 0.622 0.622 0.243
Ir 0.500 0.000 0.000

**Calculated volume**: 14.36 Å³/atom
**Distance to the lowest polymorph of the same formula**: 0.000 eV/atom
**Total magnetic moment**: 0.0 Bohr magnetons per cell
**Formation energy from the elements**: 0.04 eV/atom
**Calculated density**: 19.6 Mg/m³